(P)
# CdGaReSn

A relaxed structure of CdGaReSn (PBE-GGA, Alexandria).

Lattice parameters (Å, degrees): 6.539 3.391 8.694 90.00 123.97 90.00
Atoms (fractional coordinates):
Re: 0.620 0.500 0.494
Sn: 0.395 0.000 0.604
Ga: 0.789 0.500 0.858
Cd: 0.063 0.500 0.242
Re: 0.620 0.000 0.994
Sn: 0.395 0.500 0.104
Cd: 0.063 0.000 0.742
Ga: 0.789 0.000 0.358

Calculated values
M_tot = 1.04 μB/cell
DOS(E_F) = 2.34 states/eV/f.u.
V = 20.0 Å³ per atom



(Q)
# CdGaReSn

A relaxed structure of CdGaReSn (PBE-GGA, Alexandria).

Lattice parameters (Å, degrees): 2.846 4.354 14.046 90.00 90.00 90.00
Atoms (fractional coordinates):
Sn: 0.500 0.500 0.179
Re: 0.000 0.500 0.354
Cd: 0.500 0.000 0.034
Ga: 0.500 0.500 0.867
Sn: 0.500 0.000 0.679
Cd: 0.500 0.500 0.534
Re: 0.000 0.000 0.854
Ga: 0.500 0.000 0.367

Calculated values
M_tot = 0.00 μB/cell
DOS(E_F) = 1.33 states/eV/f.u.
V = 21.8 Å³ per atom



Last place for stability: (P)



(P)
# CdGaReSn

A relaxed structure of CdGaReSn (PBE-GGA, Alexandria).

Lattice parameters (Å, degrees): 3.462 5.156 5.469 100.57 108.10 109.42
Atoms (fractional coordinates):
Sn: 0.547 0.455 0.481
Ga: 0.981 0.695 0.098
Cd: 0.544 0.055 0.875
Re: 0.786 0.999 0.414

Calculated values
M_tot = 0.00 μB/cell
DOS(E_F) = 2.71 states/eV/f.u.
V = 20.7 Å³ per atom



(Q)
# CdGaReSn

A relaxed structure of CdGaReSn (PBE-GGA, Alexandria).

Lattice parameters (Å, degrees): 9.299 3.168 5.477 90.00 101.19 90.00
Atoms (fractional coordinates):
Cd: 0.063 0.500 0.666
Ga: 0.812 0.000 0.748
Ga: 0.812 0.500 0.248
Sn: 0.381 0.500 0.775
Re: 0.610 0.500 0.516
Cd: 0.063 0.000 0.166
Sn: 0.381 0.000 0.275
Re: 0.610 0.000 0.016

Calculated values
M_tot = 0.00 μB/cell
DOS(E_F) = 2.56 states/eV/f.u.
V = 19.8 Å³ per atom



Last place for stability: (P)



(P)
# CdGaReSn

A relaxed structure of CdGaReSn (PBE-GGA, Alexandria).

Lattice parameters (Å, degrees): 3.230 3.231 8.077 101.56 101.52 90.03
Atoms (fractional coordinates):
Re: 0.902 0.504 0.625
Sn: 0.293 0.894 0.406
Cd: 0.112 0.717 0.040
Ga: 0.488 0.090 0.795

Calculated values
M_tot = 0.00 μB/cell
DOS(E_F) = 1.80 states/eV/f.u.
V = 20.2 Å³ per atom



(Q)
# CdGaReSn

A relaxed structure of CdGaReSn (PBE-GGA, Alexandria).

Lattice parameters (Å, degrees): 2.903 5.233 5.651 75.15 75.54 73.99
Atoms (fractional coordinates):
Re: 0.221 0.992 0.576
Cd: 0.441 0.106 0.031
Ga: 0.766 0.621 0.862
Sn: 0.563 0.484 0.399

Calculated values
M_tot = 0.00 μB/cell
DOS(E_F) = 2.50 states/eV/f.u.
V = 19.6 Å³ per atom



(R)
# CdGaReSn

A relaxed structure of CdGaReSn (PBE-GGA, Alexandria).

Lattice parameters (Å, degrees): 3.148 3.148 27.572 90.00 90.00 120.00
Atoms (fractional coordinates):
Cd: 0.000 0.000 0.645
Re: 0.333 0.667 0.463
Sn: 0.333 0.667 0.206
Ga: 0.667 0.333 0.729
Re: 0.667 0.333 0.130
Ga: 0.333 0.667 0.063
Re: 0.000 0.000 0.797
Ga: 0.000 0.000 0.396
Sn: 0.000 0.000 0.540
Sn: 0.667 0.333 0.873
Cd: 0.667 0.333 0.979
Cd: 0.333 0.667 0.312

Calculated values
M_tot = 0.00 μB/cell
DOS(E_F) = 1.36 states/eV/f.u.
V = 19.7 Å³ per atom



(S)
# CdGaReSn

A relaxed structure of CdGaReSn (PBE-GGA, Alexandria).

Lattice parameters (Å, degrees): 2.831 4.890 12.785 90.00 90.00 90.00
Atoms (fractional coordinates):
Cd: 0.000 0.500 0.398
Re: 0.500 0.000 0.407
Re: 0.500 0.500 0.907
Sn: 0.000 0.500 0.095
Cd: 0.000 0.000 0.898
Ga: 0.000 0.500 0.734
Sn: 0.000 0.000 0.595
Ga: 0.000 0.000 0.234

Calculated values
M_tot = 0.00 μB/cell
DOS(E_F) = 1.69 states/eV/f.u.
V = 22.1 Å³ per atom



Last place for stability: (Q)